(1)
TiCuGeAs2 | PBE | relaxed

Unit cell a=4.8923 b=4.8923 c=4.7761 alpha=90.00 beta=90.00 gamma=90.00
With the nearest neighbours (Å) after each atom.
Positions (direct):
Ti: 0.0000 0.0000 0.0000  2 Ge 2.39
Cu: 0.5000 0.5000 0.0000  8 As 3.42, 4 Ti 3.46
Ge: 0.0000 0.0000 0.5000  2 Ti 2.39, 4 As 2.45
As: 0.0000 0.5000 0.5000  2 Ge 2.45
As: 0.5000 0.0000 0.5000  2 Ge 2.45

Computed properties:
Its space group is P4/mmm. Its density of states at the Fermi level is 6.713 states/eV/cell. For the raw total energy, the calculation gives -4.249 eV per atom. Its energy of formation from the pure elements is 0.932 eV/atom.



(2)
AlSn3Pd | PBE | relaxed

Unit cell a=5.1942 b=5.1942 c=5.1942 alpha=90.00 beta=90.00 gamma=90.00
With the nearest neighbours (Å) after each atom.
Positions (direct):
Al: 0.0000 0.0000 0.0000  6 Sn 2.60
Sn: 0.0000 0.0000 0.5000  2 Al 2.60
Sn: 0.0000 0.5000 0.0000  2 Al 2.60
Sn: 0.5000 0.0000 0.0000  2 Al 2.60
Pd: 0.5000 0.5000 0.5000  12 Sn 3.67

Computed properties:
Its space group is Pm-3m. Its density of states at the Fermi level is 2.538 states/eV/cell. The energy relative to the lowest polymorph listed for this composition comes out at 0.343 eV per atom. For the raw total energy, the calculation gives -3.601 eV per atom. Its energy of formation from the pure elements is 0.588 eV/atom.



(3)
HoScHg4 | PBE | relaxed

Unit cell a=6.2906 b=6.2906 c=6.9901 alpha=106.05 beta=106.05 gamma=31.98
With the nearest neighbours (Å) after each atom.
Positions (direct):
Ho: 0.0000 0.0000 0.0000  8 Hg 3.13-3.16, 2 Ho 3.47, 2 Sc 3.50
Sc: 0.0000 0.0000 0.5000  8 Hg 3.05-3.09
Hg: 0.3341 0.3341 0.1758  2 Sc 3.09, 2 Ho 3.16, 5 Hg 3.17-3.37
Hg: 0.3384 0.3384 0.6593  2 Sc 3.05, 5 Hg 3.13-3.37, 2 Ho 3.13
Hg: 0.6616 0.6616 0.3407  2 Sc 3.05, 5 Hg 3.13-3.37, 2 Ho 3.13
Hg: 0.6659 0.6659 0.8242  2 Sc 3.09, 2 Ho 3.16, 5 Hg 3.17-3.37

Computed properties:
Its space group is C2/m. Its density of states at the Fermi level is 3.985 states/eV/cell. The energy relative to the lowest polymorph listed for this composition comes out at 0.031 eV per atom. For the raw total energy, the calculation gives -2.317 eV per atom. Its energy of formation from the pure elements is -0.298 eV/atom.



(4)
TeSe3N | PBE | relaxed

Unit cell a=4.5511 b=4.5511 c=4.5511 alpha=90.00 beta=90.00 gamma=90.00
With the nearest neighbours (Å) after each atom.
Positions (direct):
Te: 0.0000 0.0000 0.0000  12 Se 3.22
Se: 0.0000 0.5000 0.5000  2 N 2.28
Se: 0.5000 0.0000 0.5000  2 N 2.28
Se: 0.5000 0.5000 0.0000  2 N 2.28
N: 0.5000 0.5000 0.5000  6 Se 2.28

Computed properties:
Its space group is Pm-3m. Its density of states at the Fermi level is 3.541 states/eV/cell. The energy relative to the lowest polymorph listed for this composition comes out at 0.000 eV per atom. As for the energy relative to the elements, uncorrected: 0.900 eV per atom. For the raw total energy, the calculation gives -3.484 eV per atom.



(5)
AlTlIn2Pb | PBE | relaxed

Unit cell a=5.4480 b=5.4480 c=5.4636 alpha=90.00 beta=90.00 gamma=90.00
With the nearest neighbours (Å) after each atom.
Positions (direct):
Al: 0.0000 0.0000 0.0000  4 In 2.72, 2 Pb 2.73
Tl: 0.5000 0.5000 0.5000  4 Pb 3.85, 8 In 3.86
In: 0.0000 0.5000 0.0000  2 Al 2.72
In: 0.5000 0.0000 0.0000  2 Al 2.72
Pb: 0.0000 0.0000 0.5000  2 Al 2.73

Computed properties:
Its space group is P4/mmm. Its density of states at the Fermi level is 2.654 states/eV/cell. For the raw total energy, the calculation gives -2.763 eV per atom. Its energy of formation from the pure elements is 0.295 eV/atom.



(6)
Pm3SmTl2O | PBE | relaxed

Unit cell a=9.0784 b=9.0784 c=9.0784 alpha=149.53 beta=149.39 gamma=43.74
With the nearest neighbours (Å) after each atom.
Positions (direct):
Pm: 0.0000 0.0000 0.0000  2 O 2.40
Pm: 0.3275 0.8275 0.5000  1 O 2.91, 1 Tl 3.18
Pm: 0.6725 0.1725 0.5000  1 O 2.91, 1 Tl 3.18
Sm: 0.5000 0.5000 0.0000  2 O 2.39
Tl: 0.1390 0.6390 0.5000  7 Pm 3.18-3.43, 2 Sm 3.35
Tl: 0.8610 0.3610 0.5000  7 Pm 3.18-3.43, 2 Sm 3.35
O: 0.5000 0.0000 0.5000  2 Sm 2.39, 2 Pm 2.40

Computed properties:
Its space group is Immm. Its density of states at the Fermi level is 2.817 states/eV/cell. As for the energy relative to the elements, uncorrected: -1.032 eV per atom. For the raw total energy, the calculation gives -5.127 eV per atom.



| no. | spin magnetization (μB per formula unit) | calculated volume (Å³ per cell) |
| --- | --- | --- |
| 1 | 0.05 | 114.3 |
| 2 | 0.00 | 140.1 |
| 3 | 0.48 | 140.3 |
| 4 | 0.00 | 94.3 |
| 5 | 0.00 | 162.2 |
| 6 | 0.00 | 192.7 |